No. 1
Density functional theory data (PBE-GGA) for crystalline PmThNiSn at its relaxed geometry.

a = 7.430 Å, b = 7.430 Å, c = 7.430 Å
α = 90.00°, β = 90.00°, γ = 90.00°
Space group F-43m (No. 216)
Symmetry-distinct sites (fractional):
Pm1 0.000 0.000 0.000
Th1 0.000 0.000 0.500
Ni1 0.250 0.250 0.250
Sn1 0.250 0.250 0.750

Values from the calculation:
Energy of formation from the pure elements   -1.05 eV per formula unit
Calculated volume   25.64 Å³ per atom
Density of states at the Fermi level   15.60 states/eV/cell


No. 2
Density functional theory data (PBE-GGA) for crystalline PmYNiSn at its relaxed geometry.

a = 7.316 Å, b = 7.316 Å, c = 7.316 Å
α = 90.00°, β = 90.00°, γ = 90.00°
Space group F-43m (No. 216)
Symmetry-distinct sites (fractional):
Pm1 0.000 0.000 0.000
Y1 0.000 0.000 0.500
Ni1 0.250 0.250 0.250
Sn1 0.250 0.250 0.750

Values from the calculation:
Energy of formation from the pure elements   -1.68 eV per formula unit
Calculated volume   24.48 Å³ per atom
Density of states at the Fermi level   9.56 states/eV/cell


No. 3
Density functional theory data (PBE-GGA) for crystalline Pm2ZnNi4Sn3 at its relaxed geometry.

a = 4.380 Å, b = 4.380 Å, c = 10.069 Å
α = 90.00°, β = 90.00°, γ = 90.00°
Space group P-4m2 (No. 115)
Symmetry-distinct sites (fractional):
Pm1 0.000 0.500 0.246
Zn1 0.000 0.000 0.500
Ni1 0.000 0.000 0.000
Ni2 0.000 0.500 0.623
Ni3 0.500 0.500 0.000
Sn1 0.000 0.500 0.870
Sn2 0.500 0.500 0.500

Values from the calculation:
Energy of formation from the pure elements   -4.86 eV per formula unit
Calculated volume   19.31 Å³ per atom
Density of states at the Fermi level   8.50 states/eV/cell


No. 4
Density functional theory data (PBE-GGA) for crystalline Pm2Zn2Ni5Sn at its relaxed geometry.

a = 9.499 Å, b = 9.499 Å, c = 3.644 Å
α = 90.00°, β = 90.00°, γ = 90.00°
Space group P4/mbm (No. 127)
Symmetry-distinct sites (fractional):
Pm1 0.181 0.319 0.000
Zn1 0.114 0.614 0.000
Ni1 0.000 0.500 0.500
Ni2 0.062 0.785 0.500
Sn1 0.000 0.000 0.000

Values from the calculation:
Energy of formation from the pure elements   -2.72 eV per formula unit
Calculated volume   16.44 Å³ per atom
Density of states at the Fermi level   8.97 states/eV/cell


No. 5
Density functional theory data (PBE-GGA) for crystalline SrPm2Ni at its relaxed geometry.

a = 4.1137 Å, b = 4.1137 Å, c = 28.8620 Å
α = 90.00°, β = 90.00°, γ = 120.00°
Space group R3m (No. 160, hexagonal axes)
Symmetry-distinct sites (fractional):
Sr1 0.0000 0.0000 0.0000
Pm1 0.0000 0.0000 0.5486
Pm2 0.0000 0.0000 0.7819
Ni1 0.0000 0.0000 0.1651

Values from the calculation:
Energy of formation from the pure elements   -0.29 eV per formula unit
Energy above the most stable polymorph in this dataset   0.00 kcal/mol of atoms
Calculated volume   35.25 Å³ per atom
Density of states at the Fermi level   13.13 states/eV/cell


No. 6
Density functional theory data (PBE-GGA) for crystalline SrPm2Ni at its relaxed geometry.

a = 3.582 Å, b = 3.582 Å, c = 9.855 Å
α = 90.00°, β = 90.00°, γ = 90.00°
Space group P4/mmm (No. 123)
Symmetry-distinct sites (fractional):
Sr1 0.000 0.000 0.000
Pm1 0.500 0.500 0.338
Ni1 0.000 0.000 0.500

Values from the calculation:
Energy of formation from the pure elements   -0.15 eV per formula unit
Energy above the most stable polymorph in this dataset   0.84 kcal/mol of atoms
Calculated volume   31.61 Å³ per atom
Density of states at the Fermi level   5.08 states/eV/cell


No. 7
Density functional theory data (PBE-GGA) for crystalline SrPm2Ni at its relaxed geometry.

a = 3.9896 Å, b = 3.9896 Å, c = 32.1907 Å
α = 90.00°, β = 90.00°, γ = 120.00°
Space group R-3m (No. 166, hexagonal axes)
Symmetry-distinct sites (fractional):
Sr1 0.0000 0.0000 0.0000
Pm1 0.0000 0.0000 0.1196
Ni1 0.0000 0.0000 0.5000

Values from the calculation:
Energy of formation from the pure elements   0.14 eV per formula unit
Energy above the most stable polymorph in this dataset   2.48 kcal/mol of atoms
Calculated volume   36.98 Å³ per atom
Density of states at the Fermi level   15.33 states/eV/cell


No. 8
Density functional theory data (PBE-GGA) for crystalline SrPmZnNi at its relaxed geometry.

a = 7.291 Å, b = 7.291 Å, c = 7.291 Å
α = 90.00°, β = 90.00°, γ = 90.00°
Space group F-43m (No. 216)
Symmetry-distinct sites (fractional):
Sr1 0.000 0.000 0.000
Pm1 0.000 0.000 0.500
Zn1 0.250 0.250 0.750
Ni1 0.250 0.250 0.250

Values from the calculation:
Energy of formation from the pure elements   -0.35 eV per formula unit
Calculated volume   24.23 Å³ per atom
Density of states at the Fermi level   11.68 states/eV/cell


No. 9
Density functional theory data (PBE-GGA) for crystalline PmTaNi10 at its relaxed geometry.

a = 3.974 Å, b = 4.777 Å, c = 8.311 Å
α = 90.00°, β = 90.00°, γ = 90.00°
Space group Pmmm (No. 47)
Symmetry-distinct sites (fractional):
Pm1 0.000 0.000 0.000
Ta1 0.000 0.500 0.500
Ni1 0.000 0.000 0.345
Ni2 0.000 0.500 0.186
Ni3 0.500 0.000 0.500
Ni4 0.500 0.258 0.263
Ni5 0.500 0.500 0.000

Values from the calculation:
Energy of formation from the pure elements   -2.01 eV per formula unit
Calculated volume   13.15 Å³ per atom
Density of states at the Fermi level   14.89 states/eV/cell


No. 10
Density functional theory data (PBE-GGA) for crystalline PmTaNi at its relaxed geometry.

a = 3.273 Å, b = 3.273 Å, c = 11.047 Å
α = 90.00°, β = 90.00°, γ = 90.00°
Space group P4/mmm (No. 123)
Symmetry-distinct sites (fractional):
Pm1 0.000 0.000 0.166
Ta1 0.500 0.500 0.374
Ni1 0.000 0.000 0.500
Ni2 0.500 0.500 0.000

Values from the calculation:
Energy of formation from the pure elements   0.38 eV per formula unit
Calculated volume   19.73 Å³ per atom
Density of states at the Fermi level   7.50 states/eV/cell


No. 11
Density functional theory data (PBE-GGA) for crystalline TbPm3Ni at its relaxed geometry.

a = 10.493 Å, b = 7.382 Å, c = 7.978 Å
α = 90.00°, β = 90.00°, γ = 90.00°
Space group Ima2 (No. 46)
Symmetry-distinct sites (fractional):
Tb1 0.250 0.005 0.000
Pm1 0.014 0.750 0.251
Pm2 0.250 0.505 0.002
Ni1 0.250 0.248 0.251

Values from the calculation:
Energy of formation from the pure elements   -0.19 eV per formula unit
Energy above the most stable polymorph in this dataset   2.30 kcal/mol of atoms
Calculated volume   30.90 Å³ per atom
Density of states at the Fermi level   36.40 states/eV/cell


No. 12
Density functional theory data (PBE-GGA) for crystalline Tb4PmNi4 at its relaxed geometry.

a = 8.599 Å, b = 8.599 Å, c = 5.656 Å
α = 90.00°, β = 90.00°, γ = 90.00°
Space group P4_2/n (No. 86, origin choice 2)
Symmetry-distinct sites (fractional):
Tb1 0.068 0.662 0.153
Pm1 0.250 0.250 0.250
Ni1 0.029 0.615 0.639

Values from the calculation:
Energy of formation from the pure elements   -2.19 eV per formula unit
Calculated volume   23.23 Å³ per atom
Density of states at the Fermi level   16.03 states/eV/cell


No. 13
Density functional theory data (PBE-GGA) for crystalline TbPm4Ni5 at its relaxed geometry.

a = 3.436 Å, b = 3.436 Å, c = 17.439 Å
α = 90.00°, β = 90.00°, γ = 90.00°
Space group P4/mmm (No. 123)
Symmetry-distinct sites (fractional):
Tb1 0.000 0.000 0.000
Pm1 0.000 0.000 0.197
Pm2 0.000 0.000 0.399
Ni1 0.500 0.500 0.095
Ni2 0.500 0.500 0.298
Ni3 0.500 0.500 0.500

Values from the calculation:
Energy of formation from the pure elements   -2.78 eV per formula unit
Calculated volume   20.59 Å³ per atom
Density of states at the Fermi level   9.03 states/eV/cell


No. 14
Density functional theory data (PBE-GGA) for crystalline Tb3PmNi at its relaxed geometry.

a = 7.5173 Å, b = 7.5173 Å, c = 5.8913 Å
α = 90.00°, β = 90.00°, γ = 120.00°
Space group P6_3/mmc (No. 194)
Symmetry-distinct sites (fractional):
Tb1 0.1769 0.3539 0.2500
Pm1 0.3333 0.6667 0.7500
Ni1 0.0000 0.0000 0.0000

Values from the calculation:
Energy of formation from the pure elements   -0.41 eV per formula unit
Energy above the most stable polymorph in this dataset   0.00 kcal/mol of atoms
Calculated volume   28.83 Å³ per atom
Density of states at the Fermi level   10.58 states/eV/cell


No. 15
Density functional theory data (PBE-GGA) for crystalline Tb2Pm3Ni2 at its relaxed geometry.

a = 12.120 Å, b = 3.716 Å, c = 9.006 Å
α = 90.00°, β = 114.38°, γ = 90.00°
Space group C2/m (No. 12)
Symmetry-distinct sites (fractional):
Tb1 0.168 0.000 0.309
Pm1 0.000 0.500 0.500
Pm2 0.115 0.500 0.930
Ni1 0.170 0.000 0.729

Values from the calculation:
Energy of formation from the pure elements   -1.40 eV per formula unit
Calculated volume   26.38 Å³ per atom
Density of states at the Fermi level   19.01 states/eV/cell


No. 16
Density functional theory data (PBE-GGA) for crystalline Tb2PmNi6 at its relaxed geometry.

a = 6.9741 Å, b = 6.9741 Å, c = 3.7698 Å
α = 90.00°, β = 90.00°, γ = 120.00°
Space group P6/mmm (No. 191)
Symmetry-distinct sites (fractional):
Tb1 0.3333 0.6667 0.0000
Pm1 0.0000 0.0000 0.0000
Ni1 0.0000 0.3347 0.5000

Values from the calculation:
Energy of formation from the pure elements   -3.31 eV per formula unit
Calculated volume   17.64 Å³ per atom
Density of states at the Fermi level   9.34 states/eV/cell


No. 17
Density functional theory data (PBE-GGA) for crystalline Tb3PmNi at its relaxed geometry.

a = 5.349 Å, b = 5.349 Å, c = 5.349 Å
α = 90.00°, β = 90.00°, γ = 90.00°
Space group Pm-3m (No. 221)
Symmetry-distinct sites (fractional):
Tb1 0.000 0.000 0.500
Pm1 0.500 0.500 0.500
Ni1 0.000 0.000 0.000

Values from the calculation:
Energy of formation from the pure elements   -0.24 eV per formula unit
Energy above the most stable polymorph in this dataset   0.78 kcal/mol of atoms
Calculated volume   30.62 Å³ per atom
Density of states at the Fermi level   10.17 states/eV/cell


No. 18
Density functional theory data (PBE-GGA) for crystalline TbPmNi3 at its relaxed geometry.

a = 3.915 Å, b = 24.307 Å, c = 4.013 Å
α = 90.00°, β = 90.00°, γ = 90.00°
Space group Cmcm (No. 63)
Symmetry-distinct sites (fractional):
Tb1 0.000 0.204 0.250
Pm1 0.000 0.071 0.750
Ni1 0.000 0.325 0.250
Ni2 0.000 0.379 0.750
Ni3 0.000 0.475 0.750

Values from the calculation:
Energy of formation from the pure elements   -1.90 eV per formula unit
Calculated volume   19.09 Å³ per atom
Density of states at the Fermi level   19.20 states/eV/cell


No. 19
Density functional theory data (PBE-GGA) for crystalline TbPm3Ni at its relaxed geometry.

a = 5.440 Å, b = 5.440 Å, c = 5.440 Å
α = 90.00°, β = 90.00°, γ = 90.00°
Space group Pm-3m (No. 221)
Symmetry-distinct sites (fractional):
Tb1 0.000 0.000 0.000
Pm1 0.000 0.500 0.500
Ni1 0.500 0.500 0.500

Values from the calculation:
Energy of formation from the pure elements   0.20 eV per formula unit
Energy above the most stable polymorph in this dataset   4.13 kcal/mol of atoms
Calculated volume   32.20 Å³ per atom
Density of states at the Fermi level   11.68 states/eV/cell


No. 20
Density functional theory data (PBE-GGA) for crystalline TbPm3Ni8 at its relaxed geometry.

a = 5.1273 Å, b = 5.1273 Å, c = 25.1844 Å
α = 90.00°, β = 90.00°, γ = 120.00°
Space group R3m (No. 160, hexagonal axes)
Symmetry-distinct sites (fractional):
Tb1 0.0000 0.0000 0.0000
Pm1 0.0000 0.0000 0.3748
Pm2 0.0000 0.0000 0.4999
Pm3 0.0000 0.0000 0.8753
Ni1 0.0000 0.0000 0.1876
Ni2 0.0000 0.0000 0.6873
Ni3 0.0001 0.5001 0.9383
Ni4 0.1674 0.3349 0.7702

Values from the calculation:
Energy of formation from the pure elements   -4.37 eV per formula unit
Calculated volume   15.93 Å³ per atom
Density of states at the Fermi level   23.75 states/eV/cell


No. 21
Density functional theory data (PBE-GGA) for crystalline TbPm3Ni2 at its relaxed geometry.

a = 16.435 Å, b = 3.948 Å, c = 11.629 Å
α = 90.00°, β = 123.79°, γ = 90.00°
Space group C2/m (No. 12)
Symmetry-distinct sites (fractional):
Tb1 0.158 0.000 0.250
Pm1 0.081 0.500 0.943
Pm2 0.082 0.500 0.439
Pm3 0.154 0.000 0.748
Ni1 0.232 0.000 0.051
Ni2 0.232 0.000 0.550

Values from the calculation:
Energy of formation from the pure elements   -1.44 eV per formula unit
Calculated volume   26.13 Å³ per atom
Density of states at the Fermi level   29.67 states/eV/cell


No. 22
Density functional theory data (PBE-GGA) for crystalline TbPm4Ni4 at its relaxed geometry.

a = 8.539 Å, b = 8.539 Å, c = 5.886 Å
α = 90.00°, β = 90.00°, γ = 90.00°
Space group P4_2/n (No. 86, origin choice 2)
Symmetry-distinct sites (fractional):
Tb1 0.250 0.250 0.250
Pm1 0.057 0.666 0.150
Ni1 0.022 0.619 0.629

Values from the calculation:
Energy of formation from the pure elements   -1.81 eV per formula unit
Calculated volume   23.84 Å³ per atom
Density of states at the Fermi level   15.67 states/eV/cell


No. 23
Density functional theory data (PBE-GGA) for crystalline TbPm3Ni at its relaxed geometry.

a = 12.263 Å, b = 3.707 Å, c = 14.100 Å
α = 90.00°, β = 115.75°, γ = 90.00°
Space group Cm (No. 8)
Symmetry-distinct sites (fractional):
Tb1 0.000 0.000 0.000
Tb2 0.107 0.000 0.272
Pm1 0.123 0.000 0.638
Pm2 0.234 0.000 0.917
Pm3 0.277 0.500 0.155
Pm4 0.285 0.500 0.515
Pm5 0.446 0.000 0.395
Pm6 0.453 0.000 0.760
Ni1 0.284 0.500 0.788
Ni2 0.455 0.000 0.128

Values from the calculation:
Energy of formation from the pure elements   -0.69 eV per formula unit
Energy above the most stable polymorph in this dataset   0.00 kcal/mol of atoms
Calculated volume   28.87 Å³ per atom
Density of states at the Fermi level   25.64 states/eV/cell


In eV per cell, the energy values for the records above are, in order, -92.0 -90.7 -50.8 -95.4 -51.8 -17.1 -50.5 -55.3 -76.4 -44.0 -99.4 -97.2 -55.3 -49.7 -73.0 -52.0 -24.7 -114.5 -24.5 -208.5 -127.5 -97.1 -101.4.